one | Here is a PBEsol-optimized structure of KSrP2S from Alexandria via LeMat-Bulk. Energies are from meta-GGA SCAN.

```
KSrP2S
1.0
-1.743 -4.710 0.986
3.141 -1.907 -3.563
3.770 -0.629 3.660
Sr K S P
1 1 1 2
direct
0.500 0.500 0.500
0.000 0.000 0.000
0.000 0.000 0.500
0.000 0.500 0.000
0.500 0.000 0.000
```

Results
The space group is P4/mmm (123). As for the spin magnetization: 0.002 μB per formula unit.



two | Here is a PBEsol-optimized structure of KSrP2S from Alexandria via LeMat-Bulk. Energies are from meta-GGA SCAN.

```
KSrP2S
1.0
5.511 0.000 0.000
0.000 5.541 0.000
0.000 0.000 5.541
Sr K S P
1 1 1 2
direct
0.000 0.000 0.000
0.500 0.500 0.500
0.500 0.000 0.000
0.000 0.000 0.500
0.000 0.500 0.000
```

Results
The space group is P4/mmm (123). As for the spin magnetization: 2.275 μB per formula unit.



The relative energies come out as one 0.363; two 0.000, with values in eV/atom.



one | Here is a PBEsol-optimized structure of KScP2 from Alexandria via LeMat-Bulk. Energies are from meta-GGA SCAN.

```
KScP2
1.0
-3.045 3.274 -2.859
-4.219 -1.385 2.907
5.262 5.190 5.264
Sc P K
2 4 2
direct
0.250 0.750 0.500
0.000 0.000 0.000
0.179 0.875 0.250
0.071 0.375 0.250
0.125 0.929 0.750
0.625 0.821 0.750
0.750 0.250 0.500
0.500 0.500 0.000
```

Results
The space group is I-42d (122). As for the spin magnetization: 0.000 μB per formula unit.



two | Here is a PBEsol-optimized structure of KScP2 from Alexandria via LeMat-Bulk. Energies are from meta-GGA SCAN.

```
KScP2
1.0
3.475 0.000 0.000
0.000 3.953 0.000
-1.737 -1.977 6.912
K P Sc
1 2 1
direct
0.292 0.792 0.584
0.018 0.018 0.036
0.654 0.154 0.309
0.536 0.536 0.071
```

Results
The space group is Imm2 (44). As for the spin magnetization: 0.000 μB per formula unit.



three | Here is a PBEsol-optimized structure of KScP2 from Alexandria via LeMat-Bulk. Energies are from meta-GGA SCAN.

```
KScP2
1.0
4.530 0.000 0.000
-2.265 4.406 -0.017
0.000 2.343 3.876
K P Sc
1 2 1
direct
0.500 0.000 0.500
0.250 0.500 0.250
0.750 0.500 0.750
0.000 0.000 0.000
```

Results
The space group is I4/mmm (139). As for the spin magnetization: 0.000 μB per formula unit.



The relative energies come out as one 0.057; two 0.000; three 0.308, with values in eV/atom.



one | Here is a PBEsol-optimized structure of K2PSe from Alexandria via LeMat-Bulk. Energies are from meta-GGA SCAN.

```
K2PSe
1.0
-1.072 -3.241 2.871
3.194 -2.054 2.340
-0.153 4.189 8.136
K P Se
2 1 1
direct
0.957 0.957 0.128
0.793 0.793 0.621
0.533 0.533 0.401
0.217 0.217 0.350
```

Results
The space group is R3m (160). As for the spin magnetization: 0.074 μB per formula unit.



two | Here is a PBEsol-optimized structure of K2PSe from Alexandria via LeMat-Bulk. Energies are from meta-GGA SCAN.

```
K2PSe
1.0
-3.541 0.933 0.350
-0.716 -1.485 -3.289
-1.808 -8.433 4.200
K P Se
2 1 1
direct
0.000 0.000 0.908
0.500 0.500 0.341
0.000 0.000 0.593
0.500 0.500 0.657
```

Results
The space group is P4mm (99). As for the spin magnetization: 0.000 μB per formula unit.



The relative energies come out as one 0.000; two 0.077, with values in eV/atom.



one | Here is a PBEsol-optimized structure of K2PSe from Alexandria via LeMat-Bulk. Energies are from meta-GGA SCAN.

```
K2PSe
1.0
-1.691 4.493 -2.160
-1.833 0.021 -4.935
-5.137 0.719 -0.897
K P Se
2 1 1
direct
0.000 0.000 0.000
0.750 0.750 0.750
0.500 0.500 0.500
0.250 0.250 0.250
```

Results
The space group is F-43m (216). As for the spin magnetization: 0.000 μB per formula unit.



two | Here is a PBEsol-optimized structure of K2PSe from Alexandria via LeMat-Bulk. Energies are from meta-GGA SCAN.

```
K2PSe
1.0
-0.154 2.733 3.478
1.772 -3.150 2.554
3.620 1.827 -4.092
K P Se
2 1 1
direct
0.750 0.250 0.500
0.250 0.750 0.500
0.000 0.000 0.000
0.500 0.500 0.000
```

Results
The space group is I4/mmm (139). As for the spin magnetization: 0.000 μB per formula unit.



three | Here is a PBEsol-optimized structure of K2PSe from Alexandria via LeMat-Bulk. Energies are from meta-GGA SCAN.

```
K2PSe
1.0
2.800 0.000 0.000
0.000 6.029 0.000
0.000 0.000 6.029
K P Se
2 1 1
direct
0.000 0.500 0.000
0.000 0.000 0.500
0.500 0.000 0.000
0.500 0.500 0.500
```

Results
The space group is P4/mmm (123). As for the spin magnetization: 0.000 μB per formula unit.



The relative energies come out as one 0.316; two 0.045; three 0.000, with values in eV/atom.